(1)
Material: Ac7Sn2N2
Method: DFT, PBE-GGA
State: relaxed

Values from the calculation:
Calculated volume   37.217 Å³ per atom
DOS at the Fermi energy   6.9 states/eV/f.u.
Energy relative to the elements, uncorrected   -0.532 eV/atom

a = 10.744 Å, b = 11.416 Å, c = 6.808 Å
α = 90.00°, β = 101.30°, γ = 90.00°
Space group C2/m (No. 12)
Symmetry-distinct sites (fractional):
Ac: 0.000 0.000 0.000 x2
Ac: 0.126 0.500 0.711 x4
Ac: 0.202 0.335 0.214 x8
Sn: 0.000 0.215 0.500 x4
N: 0.229 0.000 0.973 x4

***

(2)
Material: Ac6Sn2N
Method: DFT, PBE-GGA
State: relaxed

Values from the calculation:
Calculated volume   40.882 Å³ per atom
DOS at the Fermi energy   12.5 states/eV/f.u.
Energy relative to the elements, uncorrected   -0.328 eV/atom

a = 7.359 Å, b = 7.359 Å, c = 13.589 Å
α = 90.00°, β = 90.00°, γ = 90.00°
Space group P4_2/mnm (No. 136)
Symmetry-distinct sites (fractional):
Ac: 0.188 0.188 0.138 x8
Ac: 0.231 0.231 0.500 x4
Sn: 0.000 0.000 0.331 x4
N: 0.000 0.000 0.000 x2

***

Among the records above, which one has the lowest DOS at the Fermi energy?
Ac7Sn2N2

***

Among the records above, which one has the lowest DOS at the Fermi energy?
Ac7Sn2N2